(1)
! PBE-GGA Rb2FePbCl6, relaxed; values from VASP
&SYSTEM
  ibrav = 0, nat = 10, ntyp = 4
/
ATOMIC_SPECIES
Rb 85.47 Rb.upf
Fe 55.84 Fe.upf
Pb 207.20 Pb.upf
Cl 35.45 Cl.upf
CELL_PARAMETERS angstrom
0.000 5.332 5.332
5.332 0.000 5.332
5.332 5.332 0.000
ATOMIC_POSITIONS crystal
Rb 0.250 0.250 0.250
Rb 0.750 0.750 0.750
Fe 0.000 0.000 0.000
Pb 0.500 0.500 0.500
Cl 0.232 0.232 0.768
Cl 0.232 0.768 0.232
Cl 0.232 0.768 0.768
Cl 0.768 0.232 0.232
Cl 0.768 0.232 0.768
Cl 0.768 0.768 0.232
! formation energy (no corrections): -1.33 eV per atom

---

(2)
! PBE-GGA Sc2ClF, relaxed; values from VASP
&SYSTEM
  ibrav = 0, nat = 4, ntyp = 3
/
ATOMIC_SPECIES
Sc 44.96 Sc.upf
Cl 35.45 Cl.upf
F 19.00 F.upf
CELL_PARAMETERS angstrom
1.661 0.959 8.238
-1.661 0.959 8.238
0.000 -1.918 8.238
ATOMIC_POSITIONS crystal
Sc 0.081 0.081 0.081
Sc 0.919 0.919 0.919
Cl 0.500 0.500 0.500
F 0.000 0.000 0.000
! polymorph energy (0 for the lowest one): 0.000 eV per atom
! formation energy (no corrections): -1.68 eV per atom

---

(3)
! PBE-GGA LaCdRh, relaxed; values from VASP
&SYSTEM
  ibrav = 0, nat = 3, ntyp = 3
/
ATOMIC_SPECIES
La 138.91 La.upf
Cd 112.41 Cd.upf
Rh 102.91 Rh.upf
CELL_PARAMETERS angstrom
0.000 3.416 3.416
3.416 0.000 3.416
3.416 3.416 0.000
ATOMIC_POSITIONS crystal
La 0.000 0.000 0.000
Cd 0.750 0.750 0.750
Rh 0.500 0.500 0.500
! formation energy from the elements: 0.009 eV per atom

---

(4)
! PBE-GGA Sm2Ho2ErSc2, relaxed; values from VASP
&SYSTEM
  ibrav = 0, nat = 7, ntyp = 4
/
ATOMIC_SPECIES
Sm 150.36 Sm.upf
Ho 164.93 Ho.upf
Er 167.26 Er.upf
Sc 44.96 Sc.upf
CELL_PARAMETERS angstrom
5.666 -1.710 0.000
5.666 1.710 0.000
-3.736 0.000 10.919
ATOMIC_POSITIONS crystal
Sm 0.171 0.171 0.089
Sm 0.829 0.829 0.911
Ho 0.047 0.047 0.767
Ho 0.953 0.953 0.233
Er 0.500 0.500 0.500
Sc 0.272 0.272 0.631
Sc 0.728 0.728 0.369
! formation energy from the elements: 0.108 eV per atom

---

(5)
! PBE-GGA CeGdMgAl, relaxed; values from VASP
&SYSTEM
  ibrav = 0, nat = 4, ntyp = 4
/
ATOMIC_SPECIES
Ce 140.12 Ce.upf
Gd 157.25 Gd.upf
Mg 24.30 Mg.upf
Al 26.98 Al.upf
CELL_PARAMETERS angstrom
0.000 3.719 3.719
3.719 0.000 3.719
3.719 3.719 0.000
ATOMIC_POSITIONS crystal
Ce 0.000 0.000 0.000
Gd 0.500 0.500 0.500
Mg 0.750 0.750 0.750
Al 0.250 0.250 0.250
! formation energy from the elements: -0.184 eV per atom

---

(6)
! PBE-GGA DyTiGaIr2, relaxed; values from VASP
&SYSTEM
  ibrav = 0, nat = 5, ntyp = 4
/
ATOMIC_SPECIES
Dy 162.50 Dy.upf
Ti 47.87 Ti.upf
Ga 69.72 Ga.upf
Ir 192.22 Ir.upf
CELL_PARAMETERS angstrom
-1.994 1.994 5.856
1.994 -1.994 5.856
1.994 1.994 -5.856
ATOMIC_POSITIONS crystal
Dy 0.000 0.000 0.000
Ti 0.250 0.750 0.500
Ga 0.750 0.250 0.500
Ir 0.388 0.388 0.000
Ir 0.612 0.612 0.000
! formation energy from the elements: -0.808 eV per atom

---

(7)
! PBE-GGA RbPrInTe3, relaxed; values from VASP
&SYSTEM
  ibrav = 0, nat = 12, ntyp = 4
/
ATOMIC_SPECIES
Rb 85.47 Rb.upf
Pr 140.91 Pr.upf
In 114.82 In.upf
Te 127.60 Te.upf
CELL_PARAMETERS angstrom
9.875 0.000 0.000
0.000 4.744 0.000
-2.988 0.000 11.044
ATOMIC_POSITIONS crystal
Rb 0.200 0.250 0.229
Rb 0.800 0.750 0.771
Pr 0.339 0.750 0.873
Pr 0.661 0.250 0.127
In 0.073 0.250 0.619
In 0.927 0.750 0.381
Te 0.115 0.250 0.880
Te 0.232 0.750 0.569
Te 0.454 0.750 0.158
Te 0.546 0.250 0.842
Te 0.768 0.250 0.431
Te 0.885 0.750 0.120
! formation energy (no corrections): -0.94 eV per atom

---

(8)
! PBE-GGA SrBi2Se4, relaxed; values from VASP
&SYSTEM
  ibrav = 0, nat = 14, ntyp = 3
/
ATOMIC_SPECIES
Sr 87.62 Sr.upf
Bi 208.98 Bi.upf
Se 78.96 Se.upf
CELL_PARAMETERS angstrom
2.114 -6.966 0.000
2.114 6.966 0.000
0.000 0.000 14.407
ATOMIC_POSITIONS crystal
Sr 0.113 0.887 0.750
Sr 0.887 0.113 0.250
Bi 0.366 0.634 0.571
Bi 0.366 0.634 0.929
Bi 0.634 0.366 0.071
Bi 0.634 0.366 0.429
Se 0.000 0.000 0.000
Se 0.000 0.000 0.500
Se 0.273 0.727 0.117
Se 0.273 0.727 0.383
Se 0.456 0.544 0.750
Se 0.544 0.456 0.250
Se 0.727 0.273 0.617
Se 0.727 0.273 0.883
! formation energy (no corrections): -0.84 eV per atom

---

(9)
! PBE-GGA Rb8Bi2Se, relaxed; values from VASP
&SYSTEM
  ibrav = 0, nat = 11, ntyp = 3
/
ATOMIC_SPECIES
Rb 85.47 Rb.upf
Bi 208.98 Bi.upf
Se 78.96 Se.upf
CELL_PARAMETERS angstrom
-3.173 4.227 9.779
3.173 -4.227 9.779
3.173 4.227 -9.779
ATOMIC_POSITIONS crystal
Rb 0.115 0.363 0.753
Rb 0.204 0.204 0.000
Rb 0.253 0.000 0.253
Rb 0.390 0.637 0.753
Rb 0.610 0.363 0.247
Rb 0.747 0.000 0.747
Rb 0.796 0.796 0.000
Rb 0.885 0.637 0.247
Bi 0.325 0.825 0.500
Bi 0.675 0.175 0.500
Se 0.000 0.500 0.500
! formation energy (no corrections): -0.50 eV per atom

---

(10)
! PBE-GGA Er3Tm3Th, relaxed; values from VASP
&SYSTEM
  ibrav = 0, nat = 14, ntyp = 3
/
ATOMIC_SPECIES
Er 167.26 Er.upf
Tm 168.93 Tm.upf
Th 232.04 Th.upf
CELL_PARAMETERS angstrom
9.448 0.000 0.000
-4.724 8.182 0.000
0.000 0.000 5.607
ATOMIC_POSITIONS crystal
Er 0.052 0.240 0.250
Er 0.188 0.948 0.250
Er 0.240 0.188 0.750
Er 0.760 0.812 0.250
Er 0.812 0.052 0.750
Er 0.948 0.760 0.750
Tm 0.095 0.479 0.750
Tm 0.384 0.905 0.750
Tm 0.479 0.384 0.250
Tm 0.521 0.616 0.750
Tm 0.616 0.095 0.250
Tm 0.905 0.521 0.250
Th 0.333 0.667 0.250
Th 0.667 0.333 0.750
! polymorph energy (0 for the lowest one): 0.000 eV per atom
! formation energy from the elements: 0.013 eV per atom

---

(11)
! PBE-GGA Tb3AlAg, relaxed; values from VASP
&SYSTEM
  ibrav = 0, nat = 10, ntyp = 3
/
ATOMIC_SPECIES
Tb 158.93 Tb.upf
Al 26.98 Al.upf
Ag 107.87 Ag.upf
CELL_PARAMETERS angstrom
2.550 -10.069 0.000
2.550 10.069 0.000
0.000 0.000 5.103
ATOMIC_POSITIONS crystal
Tb 0.063 0.937 0.750
Tb 0.249 0.751 0.750
Tb 0.434 0.566 0.750
Tb 0.566 0.434 0.250
Tb 0.751 0.249 0.250
Tb 0.937 0.063 0.250
Al 0.156 0.844 0.250
Al 0.844 0.156 0.750
Ag 0.339 0.661 0.250
Ag 0.661 0.339 0.750
! polymorph energy (0 for the lowest one): 0.000 eV per atom
! formation energy from the elements: -0.244 eV per atom

---

(12)
! PBE-GGA TbSm6DyHo2, relaxed; values from VASP
&SYSTEM
  ibrav = 0, nat = 20, ntyp = 4
/
ATOMIC_SPECIES
Tb 158.93 Tb.upf
Sm 150.36 Sm.upf
Dy 162.50 Dy.upf
Ho 164.93 Ho.upf
CELL_PARAMETERS angstrom
4.588 -7.601 0.000
4.588 7.601 0.000
-1.247 0.000 9.522
ATOMIC_POSITIONS crystal
Tb 0.027 0.973 0.750
Tb 0.973 0.027 0.250
Sm 0.014 0.566 0.685
Sm 0.118 0.758 0.055
Sm 0.242 0.882 0.445
Sm 0.292 0.509 0.881
Sm 0.434 0.986 0.815
Sm 0.491 0.708 0.619
Sm 0.509 0.292 0.381
Sm 0.566 0.014 0.185
Sm 0.708 0.491 0.119
Sm 0.758 0.118 0.555
Sm 0.882 0.242 0.945
Sm 0.986 0.434 0.315
Dy 0.410 0.590 0.250
Dy 0.590 0.410 0.750
Ho 0.200 0.300 0.545
Ho 0.300 0.200 0.045
Ho 0.700 0.800 0.955
Ho 0.800 0.700 0.455
! formation energy from the elements: 0.119 eV per atom

---

(13)
! PBE-GGA Sc5Zn, relaxed; values from VASP
&SYSTEM
  ibrav = 0, nat = 6, ntyp = 2
/
ATOMIC_SPECIES
Sc 44.96 Sc.upf
Zn 65.41 Zn.upf
CELL_PARAMETERS angstrom
0.000 4.140 4.140
4.140 0.000 4.140
4.140 4.140 0.000
ATOMIC_POSITIONS crystal
Sc 0.000 0.000 0.000
Sc 0.123 0.626 0.626
Sc 0.626 0.123 0.626
Sc 0.626 0.626 0.123
Sc 0.626 0.626 0.626
Zn 0.250 0.250 0.250
! polymorph energy (0 for the lowest one): 0.363 eV per atom
! formation energy from the elements: 0.273 eV per atom

---

(14)
! PBE-GGA Ho2ThTaN4, relaxed; values from VASP
&SYSTEM
  ibrav = 0, nat = 8, ntyp = 4
/
ATOMIC_SPECIES
Ho 164.93 Ho.upf
Th 232.04 Th.upf
Ta 180.95 Ta.upf
N 14.01 N.upf
CELL_PARAMETERS angstrom
5.878 0.000 0.000
0.000 3.390 0.000
-1.923 0.000 5.634
ATOMIC_POSITIONS crystal
Ho 0.000 0.000 0.000
Ho 0.000 0.500 0.500
Th 0.500 0.000 0.500
Ta 0.500 0.500 0.000
N 0.257 0.500 0.225
N 0.272 0.000 0.779
N 0.728 0.000 0.221
N 0.743 0.500 0.775
! formation energy (no corrections): -1.43 eV per atom

---

(15)
! PBE-GGA Sm4ErMg, relaxed; values from VASP
&SYSTEM
  ibrav = 0, nat = 6, ntyp = 3
/
ATOMIC_SPECIES
Sm 150.36 Sm.upf
Er 167.26 Er.upf
Mg 24.30 Mg.upf
CELL_PARAMETERS angstrom
3.624 0.000 0.000
0.000 3.624 0.000
0.000 0.000 14.416
ATOMIC_POSITIONS crystal
Sm 0.000 0.000 0.153
Sm 0.000 0.000 0.847
Sm 0.500 0.500 0.327
Sm 0.500 0.500 0.673
Er 0.000 0.000 0.500
Mg 0.500 0.500 0.000
! polymorph energy (0 for the lowest one): 0.000 eV per atom
! formation energy from the elements: -0.018 eV per atom

---

(16)
! PBE-GGA Pr4Ni3Rh, relaxed; values from VASP
&SYSTEM
  ibrav = 0, nat = 8, ntyp = 3
/
ATOMIC_SPECIES
Pr 140.91 Pr.upf
Ni 58.69 Ni.upf
Rh 102.91 Rh.upf
CELL_PARAMETERS angstrom
3.916 0.000 0.000
0.000 4.308 0.000
0.000 0.000 10.841
ATOMIC_POSITIONS crystal
Pr 0.000 0.000 0.000
Pr 0.000 0.500 0.275
Pr 0.500 0.000 0.500
Pr 0.500 0.500 0.777
Ni 0.000 0.500 0.558
Ni 0.500 0.000 0.206
Ni 0.500 0.500 0.071
Rh 0.000 0.000 0.719
! formation energy from the elements: -0.388 eV per atom

---

(17)
! PBE-GGA DyYAlIr, relaxed; values from VASP
&SYSTEM
  ibrav = 0, nat = 4, ntyp = 4
/
ATOMIC_SPECIES
Dy 162.50 Dy.upf
Y 88.91 Y.upf
Al 26.98 Al.upf
Ir 192.22 Ir.upf
CELL_PARAMETERS angstrom
0.000 3.519 3.519
3.519 0.000 3.519
3.519 3.519 0.000
ATOMIC_POSITIONS crystal
Dy 0.000 0.000 0.000
Y 0.500 0.500 0.500
Al 0.250 0.250 0.250
Ir 0.750 0.750 0.750
! formation energy from the elements: -0.564 eV per atom

---

(18)
! PBE-GGA B3RhF, relaxed; values from VASP
&SYSTEM
  ibrav = 0, nat = 5, ntyp = 3
/
ATOMIC_SPECIES
B 10.81 B.upf
Rh 102.91 Rh.upf
F 19.00 F.upf
CELL_PARAMETERS angstrom
4.038 0.000 0.000
0.000 4.038 0.000
0.000 0.000 4.038
ATOMIC_POSITIONS crystal
B 0.000 0.000 0.500
B 0.000 0.500 0.000
B 0.500 0.000 0.000
Rh 0.000 0.000 0.000
F 0.500 0.500 0.500
! polymorph energy (0 for the lowest one): 0.000 eV per atom
! formation energy (no corrections): 0.62 eV per atom

---

(19)
! PBE-GGA YMnTl2, relaxed; values from VASP
&SYSTEM
  ibrav = 0, nat = 4, ntyp = 3
/
ATOMIC_SPECIES
Y 88.91 Y.upf
Mn 54.94 Mn.upf
Tl 204.38 Tl.upf
CELL_PARAMETERS angstrom
3.416 0.000 0.000
0.000 4.732 0.000
-0.877 0.000 6.127
ATOMIC_POSITIONS crystal
Y 0.000 0.000 0.000
Mn 0.500 0.000 0.500
Tl 0.371 0.500 0.736
Tl 0.629 0.500 0.264
! formation energy from the elements: 0.110 eV per atom

---

(20)
! PBE-GGA Er3PuB4O12, relaxed; values from VASP
&SYSTEM
  ibrav = 0, nat = 20, ntyp = 4
/
ATOMIC_SPECIES
Er 167.26 Er.upf
Pu 244.00 Pu.upf
B 10.81 B.upf
O 16.00 O.upf
CELL_PARAMETERS angstrom
5.072 2.928 2.817
-5.072 2.928 2.817
0.000 -5.857 2.817
ATOMIC_POSITIONS crystal
Er 0.000 0.537 0.463
Er 0.463 0.000 0.537
Er 0.537 0.463 0.000
Pu 0.000 0.000 0.000
B 0.038 0.500 0.962
B 0.500 0.500 0.500
B 0.500 0.962 0.038
B 0.962 0.038 0.500
O 0.028 0.634 0.822
O 0.098 0.902 0.500
O 0.178 0.366 0.972
O 0.364 0.636 0.500
O 0.366 0.972 0.178
O 0.500 0.098 0.902
O 0.500 0.364 0.636
O 0.634 0.822 0.028
O 0.636 0.500 0.364
O 0.822 0.028 0.634
O 0.902 0.500 0.098
O 0.972 0.178 0.366
! formation energy (no corrections): -3.00 eV per atom

---

(21)
! PBE-GGA RbTl3Rh, relaxed; values from VASP
&SYSTEM
  ibrav = 0, nat = 5, ntyp = 3
/
ATOMIC_SPECIES
Rb 85.47 Rb.upf
Tl 204.38 Tl.upf
Rh 102.91 Rh.upf
CELL_PARAMETERS angstrom
5.401 0.000 0.000
0.000 5.401 0.000
0.000 0.000 5.401
ATOMIC_POSITIONS crystal
Rb 0.000 0.000 0.000
Tl 0.000 0.500 0.500
Tl 0.500 0.000 0.500
Tl 0.500 0.500 0.000
Rh 0.500 0.500 0.500
! polymorph energy (0 for the lowest one): 0.000 eV per atom
! formation energy from the elements: -0.063 eV per atom

---

(22)
! PBE-GGA Ho2Tm3Sc7, relaxed; values from VASP
&SYSTEM
  ibrav = 0, nat = 12, ntyp = 3
/
ATOMIC_SPECIES
Ho 164.93 Ho.upf
Tm 168.93 Tm.upf
Sc 44.96 Sc.upf
CELL_PARAMETERS angstrom
5.421 0.000 0.000
0.000 3.410 0.000
-0.905 0.000 17.565
ATOMIC_POSITIONS crystal
Ho 0.209 0.000 0.291
Ho 0.791 0.000 0.709
Tm 0.000 0.000 0.000
Tm 0.277 0.500 0.631
Tm 0.723 0.500 0.369
Sc 0.196 0.500 0.141
Sc 0.243 0.000 0.463
Sc 0.303 0.000 0.826
Sc 0.500 0.500 0.000
Sc 0.697 0.000 0.174
Sc 0.757 0.000 0.537
Sc 0.804 0.500 0.859
! polymorph energy (0 for the lowest one): 0.000 eV per atom
! formation energy from the elements: 0.100 eV per atom

---

(23)
! PBE-GGA Tb6Ga2CO, relaxed; values from VASP
&SYSTEM
  ibrav = 0, nat = 10, ntyp = 4
/
ATOMIC_SPECIES
Tb 158.93 Tb.upf
Ga 69.72 Ga.upf
C 12.01 C.upf
O 16.00 O.upf
CELL_PARAMETERS angstrom
4.812 0.000 0.000
0.000 4.812 0.000
0.000 0.000 9.633
ATOMIC_POSITIONS crystal
Tb 0.000 0.000 0.249
Tb 0.000 0.000 0.751
Tb 0.000 0.500 0.000
Tb 0.000 0.500 0.500
Tb 0.500 0.000 0.000
Tb 0.500 0.000 0.500
Ga 0.500 0.500 0.257
Ga 0.500 0.500 0.743
C 0.000 0.000 0.000
O 0.000 0.000 0.500
! formation energy (no corrections): -0.93 eV per atom

---

Spin magnetization across the listed records, respectively: 4.000 0.000 0.000 0.000 6.527 0.000 0.000 0.000 0.000 0.000 0.000 0.000 0.001 0.000 0.000 0.000 0.000 0.000 3.688 5.000 0.000 0.000 0.000 Bohr magnetons per cell.